No. 1
KZr after structural relaxation, computed with PBE-GGA.

Cell lengths 9.251, 3.198, 5.088 Å; angles 90.00, 90.00, 90.00 degrees
Site moments in Bohr magnetons follow the coordinates.
Element x y z (fractional)
K 0.495 0.500 0.000  0.01
K 0.838 0.500 0.500  0.01
Zr 0.106 0.000 0.000  0.22
Zr 0.227 0.000 0.500  0.22

Results
Space group   Pmma
Relative energy among the computed polymorphs   425 meV per atom


No. 2
KZr2 after structural relaxation, computed with PBE-GGA.

Cell lengths 18.427, 2.989, 6.357 Å; angles 90.00, 90.00, 90.00 degrees
Element x y z (fractional)
K 0.345 0.000 0.000
K 0.845 0.500 0.000
K 0.099 0.000 0.500
K 0.599 0.500 0.500
Zr 0.024 0.000 0.000
Zr 0.663 0.000 0.000
Zr 0.163 0.500 0.000
Zr 0.524 0.500 0.000
Zr 0.421 0.000 0.500
Zr 0.781 0.000 0.500
Zr 0.281 0.500 0.500
Zr 0.921 0.500 0.500

Results
Space group   Cmcm
Relative energy among the computed polymorphs   589 meV per atom


No. 3
KZr3 after structural relaxation, computed with PBE-GGA.

Cell lengths 7.821, 6.703, 5.115 Å; angles 90.00, 90.00, 125.60 degrees
Element x y z (fractional)
K 0.990 0.479 0.000
K 0.844 0.187 0.500
Zr 0.063 0.016 0.000
Zr 0.453 0.016 0.000
Zr 0.512 0.524 0.000
Zr 0.322 0.143 0.500
Zr 0.380 0.651 0.500
Zr 0.771 0.651 0.500

Results
Space group   Cmcm
Calculated total energy   -5.9728 eV per atom


No. 4
K2Zr after structural relaxation, computed with PBE-GGA.

Cell lengths 11.976, 11.976, 11.976 Å; angles 60.00, 60.00, 60.00 degrees
Site moments in Bohr magnetons follow the coordinates.
Element x y z (fractional)
K 0.125 0.125 0.125  0.07
K 0.625 0.125 0.125  0.07
K 0.125 0.625 0.125  0.07
K 0.125 0.125 0.625  0.07
Zr 0.000 0.000 0.000  2.14
Zr 0.250 0.250 0.250  2.14

Results
Space group   Fd-3m
Relative energy among the computed polymorphs   1145 meV per atom


No. 5
KZr2 after structural relaxation, computed with PBE-GGA.

Cell lengths 5.821, 12.758, 5.035 Å; angles 90.00, 90.00, 90.00 degrees
Element x y z (fractional)
K 0.984 0.000 0.000
K 0.484 0.500 0.000
K 0.349 0.000 0.500
K 0.849 0.500 0.500
Zr 0.537 0.209 0.000
Zr 0.037 0.291 0.000
Zr 0.037 0.709 0.000
Zr 0.537 0.791 0.000
Zr 0.796 0.209 0.500
Zr 0.296 0.291 0.500
Zr 0.296 0.709 0.500
Zr 0.796 0.791 0.500

Results
Space group   Cmcm
Relative energy among the computed polymorphs   468 meV per atom


No. 6
KZr after structural relaxation, computed with PBE-GGA.

Cell lengths 9.852, 3.272, 4.799 Å; angles 90.00, 90.00, 90.00 degrees
Element x y z (fractional)
K 0.596 0.500 0.000
K 0.237 0.000 0.500
Zr 0.951 0.000 0.000
Zr 0.882 0.500 0.500

Results
Space group   Pmmn
Relative energy among the computed polymorphs   204 meV per atom


No. 7
KZr2 after structural relaxation, computed with PBE-GGA.

Cell lengths 6.021, 6.021, 5.496 Å; angles 90.00, 90.00, 60.06 degrees
Site moments in Bohr magnetons follow the coordinates.
Element x y z (fractional)
K 0.000 0.000 0.000  0.01
K 0.333 0.333 0.000  0.01
Zr 0.667 0.667 0.000  0.15
Zr 0.949 0.384 0.500  0.06
Zr 0.384 0.667 0.500  0.06
Zr 0.667 0.950 0.500  0.06

Results
Space group   P-62m
Relative energy among the computed polymorphs   640 meV per atom


No. 8
KZr after structural relaxation, computed with PBE-GGA.

Cell lengths 7.885, 13.001, 4.792 Å; angles 90.00, 90.00, 72.25 degrees
Site moments in Bohr magnetons follow the coordinates.
Element x y z (fractional)
K 0.535 0.167 0.000  0.00
K 0.902 0.433 0.000  0.00
K 0.524 0.800 0.000  0.00
K 0.088 0.119 0.500  0.00
K 0.408 0.481 0.500  0.00
Zr 0.077 0.678 0.000  -0.06
Zr 0.955 0.922 0.000  -0.07
Zr 0.903 0.676 0.500  0.16
Zr 0.161 0.800 0.500  0.00
Zr 0.779 0.924 0.500  0.15

Results
Space group   Pm
Relative energy among the computed polymorphs   255 meV per atom


No. 9
KZr after structural relaxation, computed with PBE-GGA.

Cell lengths 5.739, 8.118, 5.728 Å; angles 90.00, 90.00, 90.00 degrees
Site moments in Bohr magnetons follow the coordinates.
Element x y z (fractional)
K 0.918 0.500 0.000  0.02
K 0.418 0.750 0.000  0.02
K 0.416 0.000 0.500  0.02
K 0.916 0.250 0.500  0.02
Zr 0.415 0.250 0.000  1.03
Zr 0.915 0.000 0.000  1.03
Zr 0.418 0.500 0.500  1.03
Zr 0.918 0.750 0.500  1.03

Results
Space group   Pnma
Relative energy among the computed polymorphs   785 meV per atom


No. 10
KZr after structural relaxation, computed with PBE-GGA.

Cell lengths 5.711, 5.711, 5.711 Å; angles 60.00, 60.00, 60.00 degrees
Site moments in Bohr magnetons follow the coordinates.
Element x y z (fractional)
K 0.000 0.000 0.000  0.04
Zr 0.250 0.250 0.250  1.76

Results
Space group   F-43m
Relative energy among the computed polymorphs   2196 meV per atom


No. 11
KZr after structural relaxation, computed with PBE-GGA.

Cell lengths 3.215, 3.215, 6.973 Å; angles 90.00, 90.00, 120.00 degrees
Element x y z (fractional)
K 0.000 0.000 0.000
Zr 0.667 0.333 0.500

Results
Space group   P-6m2
Relative energy among the computed polymorphs   430 meV per atom


No. 12
KZr after structural relaxation, computed with PBE-GGA.

Cell lengths 5.678, 15.759, 5.328 Å; angles 90.00, 90.00, 87.58 degrees
Element x y z (fractional)
K 0.417 0.134 0.000
K 0.935 0.698 0.000
K 0.908 0.134 0.500
K 0.385 0.311 0.500
K 0.946 0.523 0.500
K 0.424 0.700 0.500
Zr 0.868 0.381 0.000
Zr 0.467 0.452 0.000
Zr 0.538 0.911 0.000
Zr 0.038 0.921 0.000
Zr 0.788 0.912 0.500
Zr 0.287 0.922 0.500

Results
Space group   Pm
Relative energy among the computed polymorphs   376 meV per atom


No. 13
KZr after structural relaxation, computed with PBE-GGA.

Cell lengths 5.346, 20.789, 5.192 Å; angles 90.00, 90.00, 90.00 degrees
Element x y z (fractional)
K 0.923 0.509 0.000
K 0.430 0.629 0.000
K 0.430 0.871 0.000
K 0.923 0.991 0.000
K 0.410 0.009 0.500
K 0.904 0.129 0.500
K 0.904 0.371 0.500
K 0.410 0.491 0.500
Zr 0.432 0.178 0.000
Zr 0.955 0.250 0.000
Zr 0.432 0.322 0.000
Zr 0.961 0.750 0.000
Zr 0.372 0.250 0.500
Zr 0.901 0.678 0.500
Zr 0.379 0.750 0.500
Zr 0.901 0.822 0.500

Results
Space group   Pmmn
Relative energy among the computed polymorphs   239 meV per atom


No. 14
KZr after structural relaxation, computed with PBE-GGA.

Cell lengths 5.960, 10.564, 5.084 Å; angles 90.00, 90.00, 90.00 degrees
Element x y z (fractional)
K 0.946 0.443 0.000
K 0.446 0.807 0.000
K 0.387 0.443 0.500
K 0.887 0.807 0.500
Zr 0.035 0.081 0.000
Zr 0.535 0.169 0.000
Zr 0.298 0.081 0.500
Zr 0.798 0.169 0.500

Results
Space group   Pbcm
Relative energy among the computed polymorphs   131 meV per atom


No. 15
K2Zr after structural relaxation, computed with PBE-GGA.

Cell lengths 6.984, 6.984, 6.984 Å; angles 60.00, 60.00, 60.00 degrees
Site moments in Bohr magnetons follow the coordinates.
Element x y z (fractional)
K 0.625 0.625 0.125  0.01
K 0.625 0.125 0.625  0.01
K 0.125 0.625 0.625  0.02
K 0.625 0.625 0.625  0.01
Zr 0.000 0.000 0.000  1.25
Zr 0.250 0.250 0.250  1.25

Results
Space group   Fd-3m
Relative energy among the computed polymorphs   227 meV per atom


No. 16
KZr after structural relaxation, computed with PBE-GGA.

Cell lengths 6.417, 8.613, 5.292 Å; angles 90.00, 90.00, 90.00 degrees
Element x y z (fractional)
K 0.986 0.000 0.000
K 0.383 0.000 0.500
K 0.841 0.277 0.500
K 0.841 0.723 0.500
Zr 0.449 0.337 0.000
Zr 0.057 0.500 0.000
Zr 0.449 0.663 0.000
Zr 0.326 0.500 0.500

Results
Space group   Pmm2
Relative energy among the computed polymorphs   322 meV per atom


No. 17
KZr after structural relaxation, computed with PBE-GGA.

Cell lengths 11.889, 7.023, 5.300 Å; angles 90.00, 90.00, 98.14 degrees
Element x y z (fractional)
K 0.760 0.222 0.000
K 0.339 0.333 0.000
K 0.684 0.733 0.000
K 0.539 0.323 0.500
K 0.884 0.723 0.500
K 0.462 0.834 0.500
Zr 0.057 0.037 0.000
Zr 0.054 0.505 0.000
Zr 0.246 0.810 0.000
Zr 0.165 0.018 0.500
Zr 0.976 0.245 0.500
Zr 0.167 0.550 0.500

Results
Space group   Pm
Relative energy among the computed polymorphs   175 meV per atom


No. 18
KZr2 after structural relaxation, computed with PBE-GGA.

Cell lengths 21.235, 3.151, 5.497 Å; angles 90.00, 90.00, 90.00 degrees
Element x y z (fractional)
K 0.667 0.000 0.000
K 0.167 0.500 0.000
K 0.777 0.000 0.500
K 0.277 0.500 0.500
Zr 0.379 0.000 0.000
Zr 0.998 0.000 0.000
Zr 0.498 0.500 0.000
Zr 0.879 0.500 0.000
Zr 0.065 0.000 0.500
Zr 0.447 0.000 0.500
Zr 0.565 0.500 0.500
Zr 0.947 0.500 0.500

Results
Space group   Cmcm
Relative energy among the computed polymorphs   189 meV per atom


No. 19
KZr after structural relaxation, computed with PBE-GGA.

Cell lengths 6.009, 12.139, 5.164 Å; angles 90.00, 90.00, 75.66 degrees
Site moments in Bohr magnetons follow the coordinates.
Element x y z (fractional)
K 0.895 0.373 0.000  0.02
K 0.286 0.600 0.000  0.04
K 0.668 0.827 0.000  0.02
K 0.413 0.372 0.500  0.02
K 0.185 0.827 0.500  0.02
Zr 0.901 0.092 0.000  -0.04
Zr 0.393 0.108 0.000  -0.04
Zr 0.655 0.090 0.500  -0.02
Zr 0.145 0.110 0.500  -0.02
Zr 0.792 0.600 0.500  1.70

Results
Space group   Amm2
Relative energy among the computed polymorphs   418 meV per atom


No. 20
KZr2 after structural relaxation, computed with PBE-GGA.

Cell lengths 12.885, 8.468, 4.285 Å; angles 90.00, 90.00, 90.00 degrees
Element x y z (fractional)
K 0.069 0.083 0.000
K 0.069 0.584 0.000
K 0.765 0.084 0.500
K 0.765 0.583 0.500
Zr 0.503 0.083 0.000
Zr 0.331 0.333 0.000
Zr 0.503 0.583 0.000
Zr 0.331 0.833 0.000
Zr 0.330 0.083 0.500
Zr 0.503 0.333 0.500
Zr 0.330 0.583 0.500
Zr 0.503 0.833 0.500

Results
Space group   Pmma
Relative energy among the computed polymorphs   0 meV per atom


V / Å³/atom: 37.63, 29.18, 27.26, 202.42, 31.16, 38.68, 28.78, 46.78, 33.36, 65.84, 31.20, 39.69, 36.07, 40.01, 40.14, 36.56, 36.51, 30.66, 36.50, 38.97
Total magnetic moment / μB/f.u.: 0.53, 0.36, 0.24, 6.03, 0.00, 0.09, 0.31, 0.06, 1.85, 3.25, 0.05, 0.00, 0.00, 0.00, 2.45, 0.01, 0.01, 0.41, 0.73, 0.00